# CsCd2BiIr, optimized geometry, DFT PBE
data_CsCd2BiIr
_chemical_formula_sum 'Cs1 Cd2 Bi1 Ir1'
_cell_length_a 6.557
_cell_length_b 6.557
_cell_length_c 6.670
_cell_angle_alpha 90.00
_cell_angle_beta 90.00
_cell_angle_gamma 90.00
_symmetry_space_group_name_H-M 'P 1'
_symmetry_Int_Tables_number 1
_symmetry_space_group_name_Hall 'P 1'
loop_
_atom_site_label
_atom_site_fract_x
_atom_site_fract_y
_atom_site_fract_z
_atom_site_occupancy
Cs1 0.000 0.000 0.000 1
Cd1 0.000 0.500 0.000 1
Cd2 0.500 0.000 0.000 1
Bi1 0.000 0.000 0.500 1
Ir1 0.500 0.500 0.500 1
# energy above the lowest structure with this stoichiometry	1.964	eV/atom
# formation enthalpy at 0 K	1.97	eV/atom
# DFT total energy	-5.56	eV per formula unit
# volume	286.7	Å³ per cell